VASP calculation (GGA+U) on LiCrCo3O8 after structural relaxation.

Summary:
* magnetization: 0.46 μB per atom
* total energy: -6.10 eV per atom

```
data_LiCrCo3O8
_chemical_formula_sum 'Li3 Cr3 Co9 O24'
_cell_length_a 5.7495
_cell_length_b 5.7495
_cell_length_c 14.8511
_cell_angle_alpha 90.00
_cell_angle_beta 90.00
_cell_angle_gamma 120.00
_symmetry_space_group_name_H-M 'R -3 m'
_symmetry_Int_Tables_number 166
_symmetry_space_group_name_Hall '-R 3 2"'
loop_
_atom_site_label
_atom_site_fract_x
_atom_site_fract_y
_atom_site_fract_z
Li1 0.0000 0.0000 0.0000
Cr1 0.0000 0.0000 0.5000
Co1 0.0000 0.5000 0.5000
O1 0.0000 0.0000 0.2309
O2 0.0175 0.5088 0.7675
```